1.
The following is a PBE calculation of an optimized crystal structure of HfNbTl2, from Alexandria.

The calculation puts the size of the total moment at 0.0 μB/f.u. Its excess energy over the best structure of this formula in the dataset is 65 meV per atom. The energy is -23.7 eV/cell.

The space group is Pmm2 (No. 25) and the conventional cell measures 3.202, 5.038 and 5.498 Å, with angles of 90.00, 90.00 and 90.00 degrees. The asymmetric unit holds Hf at (0.000, 0.000, 0.000), Nb at (0.500, 0.000, 0.489), Tl at (0.000, 0.500, 0.657) and Tl at (0.500, 0.500, 0.165).



2.
The following is a PBE calculation of an optimized crystal structure of HfNbTl2, from Alexandria.

The calculation puts the size of the total moment at 0.0 μB/f.u. Its excess energy over the best structure of this formula in the dataset is 74 meV per atom. The energy is -47.4 eV/cell.

The space group is C2/m (No. 12) and the conventional cell measures 10.214, 3.198 and 5.486 Å, with angles of 90.00, 100.72 and 90.00 degrees. The asymmetric unit holds Hf at (0.000, 0.000, 0.000), Nb at (0.000, 0.500, 0.500) and Tl at (0.247, 0.000, 0.744).



3.
The following is a PBE calculation of an optimized crystal structure of HfNb3Tl, from Alexandria.

The calculation puts the size of the total moment at 0.0 μB/f.u. Its excess energy over the best structure of this formula in the dataset is 405 meV per atom. The energy is -33.0 eV/cell.

The space group is Pm-3m (No. 221) and the conventional cell measures 5.072, 5.072 and 5.072 Å, with angles of 90.00, 90.00 and 90.00 degrees. The asymmetric unit holds Hf at (0.000, 0.000, 0.000), Nb at (0.000, 0.500, 0.500) and Tl at (0.500, 0.500, 0.500).



4.
The following is a PBE calculation of an optimized crystal structure of HfNbTl2, from Alexandria.

The calculation puts the size of the total moment at 0.0 μB/f.u. Its excess energy over the best structure of this formula in the dataset is 43 meV per atom. The energy is -95.3 eV/cell.

The space group is C2 (No. 5) and the conventional cell measures 10.422, 6.180 and 5.559 Å, with angles of 90.00, 101.06 and 90.00 degrees. The asymmetric unit holds Hf at (0.119, 0.000, 0.296), Nb at (0.125, 0.774, 0.796), Tl at (0.127, 0.516, 0.312) and Tl at (0.132, 0.262, 0.816).